A geometry-optimized Si2OsW structure. Source: Alexandria, functional PBEsol.

a b c (Å): 2.820 2.820 7.952
angles (deg): 90.00 90.00 117.51
Atoms (fractional coordinates):
Si 0.000 0.000 0.757
Si 0.000 0.000 0.243
W 0.500 0.500 0.500
Os 0.500 0.500 0.000

Calculated values
Symmetry: Cmmm (65)
Formation energy (no corrections): 124 meV/atom